Here is a relaxed structure of Nd2Er4Tm5 from Alexandria via LeMat-Bulk. Energies are from PBE-GGA.

**E_tot**: -4.345 eV per atom
**SG**: Immm (71)
**Volume**: 357 Å³/cell
**DFT formation energy**: 2.4 eV/f.u.

Structure (POSCAR):
```
Nd2Er4Tm5
1.0
-1.7332 4.4660 11.5345
1.7332 -4.4660 11.5345
1.7332 4.4660 -11.5345
Nd Er Tm
2 4 5
direct
0.2332 0.2332 0.0000 Nd
0.7668 0.7668 0.0000 Nd
0.0972 0.0972 0.0000 Er
0.1893 0.5000 0.6893 Er
0.8107 0.5000 0.3107 Er
0.9028 0.9028 0.0000 Er
0.1672 0.3601 0.8071 Tm
0.4470 0.6399 0.8071 Tm
0.5000 0.0000 0.5000 Tm
0.5530 0.3601 0.1929 Tm
0.8328 0.6399 0.1929 Tm
```



Here is a relaxed structure of Nd2Er5Tm6 from Alexandria via LeMat-Bulk. Energies are from PBE-GGA.

**E_tot**: -4.449 eV per atom
**SG**: Pbam (55)
**Volume**: 821 Å³/cell
**DFT formation energy**: 1.3 eV/f.u.

Structure (POSCAR):
```
Nd2Er5Tm6
1.0
11.5880 0.0000 0.0000
0.0000 19.9975 0.0000
0.0000 0.0000 3.5444
Nd Er Tm
4 10 12
direct
0.1655 0.2157 0.0000 Nd
0.3345 0.7157 0.0000 Nd
0.6655 0.2843 0.0000 Nd
0.8345 0.7843 0.0000 Nd
0.0000 0.5000 0.5000 Er
0.0944 0.7778 0.5000 Er
0.1997 0.0505 0.5000 Er
0.3003 0.5505 0.5000 Er
0.4056 0.2778 0.5000 Er
0.5000 0.0000 0.5000 Er
0.5944 0.7222 0.5000 Er
0.6997 0.4495 0.5000 Er
0.8003 0.9495 0.5000 Er
0.9056 0.2222 0.5000 Er
0.0591 0.9220 0.0000 Tm
0.0797 0.6341 0.0000 Tm
0.1785 0.3738 0.5000 Tm
0.3215 0.8738 0.5000 Tm
0.4203 0.1341 0.0000 Tm
0.4409 0.4220 0.0000 Tm
0.5591 0.5780 0.0000 Tm
0.5797 0.8659 0.0000 Tm
0.6785 0.1262 0.5000 Tm
0.8215 0.6262 0.5000 Tm
0.9203 0.3659 0.0000 Tm
0.9409 0.0780 0.0000 Tm
```



Here is a relaxed structure of Nd3Er2Tm2 from Alexandria via LeMat-Bulk. Energies are from PBE-GGA.

**E_tot**: -4.563 eV per atom
**SG**: P-1 (2)
**Volume**: 227 Å³/cell
**Energy above the most stable polymorph in this dataset**: 0 meV per atom
**DFT formation energy**: 0.4 eV/f.u.

Structure (POSCAR):
```
Nd3Er2Tm2
1.0
3.5257 0.0000 0.0000
0.0009 5.5405 0.0000
1.7392 2.7617 11.6240
Nd Er Tm
3 2 2
direct
0.0000 0.0000 0.0000 Nd
0.2230 0.7226 0.5548 Nd
0.7770 0.2774 0.4452 Nd
0.4197 0.4213 0.1571 Er
0.5803 0.5787 0.8429 Er
0.1437 0.1421 0.7161 Tm
0.8563 0.8579 0.2839 Tm
```



Here is a relaxed structure of Nd4Er15Tm from Alexandria via LeMat-Bulk. Energies are from PBE-GGA.

**E_tot**: -4.575 eV per atom
**SG**: P4/mmm (123)
**Volume**: 627 Å³/cell
**DFT formation energy**: 0.5 eV/f.u.

Structure (POSCAR):
```
Nd4Er15Tm
1.0
5.0107 0.0000 0.0000
0.0000 5.0107 0.0000
0.0000 0.0000 24.9679
Nd Er Tm
4 15 1
direct
0.0000 0.0000 0.1006 Nd
0.0000 0.0000 0.3008 Nd
0.0000 0.0000 0.6992 Nd
0.0000 0.0000 0.8994 Nd
0.0000 0.5000 0.0000 Er
0.0000 0.5000 0.2009 Er
0.0000 0.5000 0.4019 Er
0.0000 0.5000 0.5981 Er
0.0000 0.5000 0.7991 Er
0.5000 0.0000 0.0000 Er
0.5000 0.0000 0.2009 Er
0.5000 0.0000 0.4019 Er
0.5000 0.0000 0.5981 Er
0.5000 0.0000 0.7991 Er
0.5000 0.5000 0.1003 Er
0.5000 0.5000 0.3015 Er
0.5000 0.5000 0.5000 Er
0.5000 0.5000 0.6985 Er
0.5000 0.5000 0.8997 Er
0.0000 0.0000 0.5000 Tm
```